The following is a PBE calculation of a geometry-optimized PrNdMgRh structure, from Alexandria.

Structure (CIF):
```
data_PrNdMgRh
_space_group_name_H-M_alt 'P 1'
_space_group_IT_number 1
_cell_length_a 5.238
_cell_length_b 5.238
_cell_length_c 5.238
_cell_angle_alpha 60.00
_cell_angle_beta 60.00
_cell_angle_gamma 60.00
loop_
_space_group_symop_operation_xyz
'x,y,z'
loop_
_atom_site_label
_atom_site_type_symbol
_atom_site_fract_x
_atom_site_fract_y
_atom_site_fract_z
Pr1 Pr 0.250 0.250 0.250
Rh1 Rh 0.500 0.500 0.500
Mg1 Mg 0.000 0.000 0.000
Nd1 Nd 0.750 0.750 0.750
```

Properties
Its total magnetization is 0.00 μB/f.u. For the formation energy from the elements, the calculation gives -0.281 eV/atom. Its volume is 102 Å³ per cell.